Record 1
## NbFeTeIrN (PBE)

Data for a relaxed structure of NbFeTeIrN.

It has space group Pm (No. 6), with a = 3.1510 Å, b = 3.1525 Å, c = 7.1023 Å, α = 90.00°, β = 90.03° and γ = 90.00°. The asymmetric unit holds Nb at (0.0000, 0.0000, 0.0000), Fe at (0.5021, 0.5000, 0.2698), Te at (0.0017, 0.0000, 0.4605), Ir at (0.5030, 0.5000, 0.7067) and N at (0.4987, 0.5000, 0.9979).

For the formation energy without anion corrections, the calculation gives -5 kJ/mol of atoms. For the calculated total energy, the calculation gives -7.82 eV per atom. The density comes out at 11.36 g cm⁻³. The energy above the most stable polymorph in this dataset is 103.3 meV per atom.



Record 2
## LiMnMo2 (PBE)

Data for a relaxed structure of LiMnMo2.

It has space group Immm (No. 71), with a = 3.0811 Å, b = 4.2537 Å, c = 8.7223 Å, α = 90.00°, β = 90.00° and γ = 90.00°. The asymmetric unit holds Li at (0.0000, 0.0000, 0.0000), Mn at (0.0000, 0.0000, 0.5000) and Mo at (0.0000, 0.5000, 0.2421).

For the calculated total energy, the calculation gives -7.85 eV per atom. The energy of formation from the pure elements is 128 kJ/mol of formula units. The density comes out at 7.37 g cm⁻³. The energy above the most stable polymorph in this dataset is 54.4 meV per atom.



Record 3
## ScS2BrN (PBE)

Data for a relaxed structure of ScS2BrN.

It has space group P4/mmm (No. 123), with a = 5.0689 Å, b = 5.0689 Å, c = 4.0859 Å, α = 90.00°, β = 90.00° and γ = 90.00°. The asymmetric unit holds Sc at (0.0000, 0.0000, 0.0000), S at (0.0000, 0.5000, 0.0000), Br at (0.5000, 0.5000, 0.5000) and N at (0.0000, 0.0000, 0.5000).

For the formation energy without anion corrections, the calculation gives 41 kJ/mol of atoms. For the calculated total energy, the calculation gives -4.49 eV per atom. The density comes out at 3.21 g cm⁻³. The energy above the most stable polymorph in this dataset is 0.0 meV per atom.